[1]
# YAlP4 | Alexandria | PBE-GGA | optimized geometry
# Formation energy in eV/atom: 0.04
# Magnetization in μB per cell: 0.000
# Calculated volume in Å³ per cell: 419.0
data_YAlP4
_chemical_formula_sum 'Y4 Al4 P16'
_space_group_name_H-M_alt 'F -4 3 m'
_space_group_IT_number 216
_space_group_name_Hall 'F -4 2 3'
_cell_length_a 7.4831
_cell_length_b 7.4831
_cell_length_c 7.4831
_cell_angle_alpha 90.00
_cell_angle_beta 90.00
_cell_angle_gamma 90.00
loop_
_atom_site_label
_atom_site_fract_x
_atom_site_fract_y
_atom_site_fract_z
_atom_site_occupancy
Y1 0.0000 0.0000 0.0000 1
Al1 0.2500 0.2500 0.7500 1
P1 0.1175 0.1175 0.3825 1



[2]
# YAlP | Alexandria | PBE-GGA | optimized geometry
# Formation energy in eV/atom: -0.54
# Magnetization in μB per cell: 0.000
# Calculated volume in Å³ per cell: 238.7
data_YAlP
_chemical_formula_sum 'Y4 Al4 P4'
_space_group_name_H-M_alt 'F m m 2'
_space_group_IT_number 42
_space_group_name_Hall 'F 2 -2'
_cell_length_a 4.4114
_cell_length_b 5.3098
_cell_length_c 10.1925
_cell_angle_alpha 90.00
_cell_angle_beta 90.00
_cell_angle_gamma 90.00
loop_
_atom_site_label
_atom_site_fract_x
_atom_site_fract_y
_atom_site_fract_z
_atom_site_occupancy
Y1 0.0000 0.0000 0.0000 1
Al1 0.0000 0.0000 0.2946 1
P1 0.0000 0.0000 0.6825 1



[3]
# YAlP | Alexandria | PBE-GGA | optimized geometry
# Formation energy in eV/atom: -0.71
# Magnetization in μB per cell: 0.000
# Calculated volume in Å³ per cell: 174.4
data_YAlP
_chemical_formula_sum 'Y3 Al3 P3'
_space_group_name_H-M_alt 'P -6 2 m'
_space_group_IT_number 189
_space_group_name_Hall 'P -6 -2'
_cell_length_a 7.2507
_cell_length_b 7.2507
_cell_length_c 3.8306
_cell_angle_alpha 90.00
_cell_angle_beta 90.00
_cell_angle_gamma 120.00
loop_
_atom_site_label
_atom_site_fract_x
_atom_site_fract_y
_atom_site_fract_z
_atom_site_occupancy
Y1 0.0000 0.6084 0.0000 1
Al1 0.0000 0.2512 0.5000 1
P1 0.0000 0.0000 0.0000 1
P2 0.3333 0.6667 0.5000 1



[4]
# Y4AlP | Alexandria | PBE-GGA | optimized geometry
# Formation energy in eV/atom: 0.44
# Magnetization in μB per cell: 0.000
# Calculated volume in Å³ per cell: 655.2
data_Y4AlP
_chemical_formula_sum 'Y16 Al4 P4'
_space_group_name_H-M_alt 'F -4 3 m'
_space_group_IT_number 216
_space_group_name_Hall 'F -4 2 3'
_cell_length_a 8.6854
_cell_length_b 8.6854
_cell_length_c 8.6854
_cell_angle_alpha 90.00
_cell_angle_beta 90.00
_cell_angle_gamma 90.00
loop_
_atom_site_label
_atom_site_fract_x
_atom_site_fract_y
_atom_site_fract_z
_atom_site_occupancy
Y1 0.1244 0.1244 0.1244 1
Al1 0.2500 0.2500 0.7500 1
P1 0.0000 0.0000 0.5000 1